Compound: Ti2PbAu
Source: Alexandria via LeMat-Bulk
Functional: PBE
Structure: relaxed

Cell and atoms, written as extended XYZ:
```
4
Lattice="-3.4514 1.7303 1.5776 0.2930 -2.5160 3.4005 2.3625 2.9249 1.9605" Properties=species:S:1:pos:R:3 pbc="T T T"
Ti 1.1812 1.4625 0.9803
Ti 0.1465 -1.2580 1.7003
Pb -0.3979 1.0696 3.4694
Au -1.7257 0.8651 0.7888
```

Results
DOS at the Fermi energy (states/eV per atom): 1.206
Magnetic moment (μB/cell): 0.00
Space group: P4/mmm (123)
DFT formation energy (eV/f.u.): -0.585
Total energy (eV/atom): -5.84

Compound: Hf3VSb
Source: Alexandria via LeMat-Bulk
Functional: PBE
Structure: relaxed

Cell and atoms, written as extended XYZ:
```
5
Lattice="4.8767 0.0000 0.0000 0.0000 4.8767 0.0000 0.0000 0.0000 4.8767" Properties=species:S:1:pos:R:3 pbc="T T T"
Hf 2.4384 0.0000 0.0000
Sb 2.4384 2.4384 2.4384
V 0.0000 0.0000 0.0000
Hf 0.0000 2.4384 0.0000
Hf 0.0000 0.0000 2.4384
```

Results
DOS at the Fermi energy (states/eV per atom): 1.523
Magnetic moment (μB/cell): 0.00
Energy relative to the lowest polymorph listed for this composition (kJ/mol of atoms): 64.05
Space group: Pm-3m (221)
Energy relative to the elements, uncorrected (meV per atom): 552
Total energy (eV/atom): -8.07

Compound: Rb3Ba2PtO6
Source: Alexandria via LeMat-Bulk
Functional: PBE
Structure: relaxed

Cell and atoms, written as extended XYZ:
```
12
Lattice="6.4992 -0.0089 0.0042 -3.2558 5.6250 0.0042 -1.0777 -1.8661 6.4678" Properties=species:S:1:pos:R:3 pbc="T T T"
Rb -2.2542 3.8023 3.2381
Ba -0.0103 3.7506 0.0042
O -0.8555 1.4835 1.1927
O 3.0212 2.2664 5.2835
Pt 0.0000 0.0000 0.0000
Rb 4.4199 -0.0523 3.2381
O 1.7125 0.0004 1.1927
O 2.3784 4.1181 1.1930
Ba 3.2537 1.8655 0.0042
Rb 1.0829 1.8750 3.2381
O 0.4532 3.7495 5.2835
O -0.2126 -0.3682 5.2833
```

Results
DOS at the Fermi energy (states/eV per atom): 0.764
Magnetic moment (μB/cell): 1.05
Space group: C2/m (12)
Energy relative to the elements, uncorrected (meV per atom): -1453
Total energy (eV/atom): -5.00

Compound: CaEuInAu
Source: Alexandria via LeMat-Bulk
Functional: PBE
Structure: relaxed

Cell and atoms, written as extended XYZ:
```
4
Lattice="5.3665 0.0000 0.0000 2.6832 4.6475 0.0000 2.6832 1.5492 4.3817" Properties=species:S:1:pos:R:3 pbc="T T T"
Ca 0.0000 0.0000 0.0000
In 8.0497 4.6475 3.2863
Eu 5.3665 3.0983 2.1908
Au 2.6832 1.5492 1.0954
```

Results
DOS at the Fermi energy (states/eV per atom): 2.219
Magnetic moment (μB/cell): 7.06
Space group: F-43m (216)
DFT formation energy (eV/f.u.): -2.284
Total energy (eV/atom): -5.14

Compound: GaC
Source: Alexandria via LeMat-Bulk
Functional: PBE
Structure: relaxed

Cell and atoms, written as extended XYZ:
```
8
Lattice="-7.9616 -7.5031 -3.3167 0.8169 -1.9998 2.5630 -2.1839 1.4942 1.8619" Properties=species:S:1:pos:R:3 pbc="T T T"
C -4.4339 -4.1786 -1.8471
Ga -6.3669 -4.2240 -1.2665
C -3.5277 -3.3245 -1.4696
Ga -3.7786 -1.7848 -0.1883
C -7.1001 -8.0760 -1.8465
Ga -1.9776 -1.4724 1.6733
C -0.0447 -1.4269 1.0927
Ga -7.3510 -6.5363 -0.5651
```

Results
DOS at the Fermi energy (states/eV per atom): 0.142
Magnetic moment (μB/cell): 0.00
Energy relative to the lowest polymorph listed for this composition (kJ/mol of atoms): 34.95
Space group: Cmmm (65)
DFT formation energy (eV/f.u.): 1.204
Total energy (eV/atom): -5.52

Compound: Tm4Ag2HgPb
Source: Alexandria via LeMat-Bulk
Functional: PBE
Structure: relaxed

Cell and atoms, written as extended XYZ:
```
8
Lattice="-1.5011 4.4629 -2.1593 -4.8894 1.6232 0.5404 0.0242 6.1683 6.5184" Properties=species:S:1:pos:R:3 pbc="T T T"
Ag -1.5776 3.0905 1.2708
Tm -3.9739 4.6078 -0.1408
Pb 0.0000 0.0000 0.0000
Tm -2.3925 7.6465 5.0402
Tm -0.8011 4.5825 3.8146
Tm -5.5653 7.6719 1.0849
Hg -3.1832 6.1272 2.4497
Ag -4.7888 9.1638 3.6287
```

Results
DOS at the Fermi energy (states/eV per atom): 0.479
Magnetic moment (μB/cell): 0.00
Space group: R-3m (166)
DFT formation energy (eV/f.u.): -3.154
Total energy (eV/atom): -3.84

Compound: ZnAgPb4
Source: Alexandria via LeMat-Bulk
Functional: PBE
Structure: relaxed

Cell and atoms, written as extended XYZ:
```
6
Lattice="0.0000 4.5324 4.5324 4.5324 0.0000 4.5324 4.5324 4.5324 0.0000" Properties=species:S:1:pos:R:3 pbc="T T T"
Pb 5.6658 3.3991 5.6658
Ag 0.0000 0.0000 0.0000
Pb 3.3991 5.6658 5.6658
Pb 3.3991 3.3991 3.3991
Pb 5.6658 5.6658 3.3991
Zn 6.7986 6.7986 6.7986
```

Results
DOS at the Fermi energy (states/eV per atom): 0.372
Magnetic moment (μB/cell): 0.00
Space group: F-43m (216)
DFT formation energy (eV/f.u.): 2.412
Total energy (eV/atom): -2.76

Compound: Ba2Tl5In
Source: Alexandria via LeMat-Bulk
Functional: PBE
Structure: relaxed

Cell and atoms, written as extended XYZ:
```
16
Lattice="-2.2166 1.7491 -4.5750 -3.1983 -9.5517 1.0565 -8.5301 3.4597 5.4556" Properties=species:S:1:pos:R:3 pbc="T T T"
Tl -4.6751 -4.2048 -2.5014
Tl -7.5970 -4.2448 2.0578
Ba -4.2651 1.7298 2.7278
Tl -8.3589 1.7505 1.5603
Ba 0.0000 0.0000 0.0000
Ba -3.9024 -2.7012 0.8580
In -3.6860 0.8425 -1.0509
Tl -11.2516 -2.7625 4.3952
In -10.2590 -5.1854 2.9879
Tl -5.5861 -6.0935 0.3767
Tl -6.3480 -0.0982 -0.1208
Tl -2.6934 -1.5804 -2.4581
Tl -6.7460 -1.1617 2.8243
Tl -7.1990 -3.1812 -0.8872
Tl -9.2699 -0.1381 4.4384
Ba -10.0426 -1.6418 1.0791
```

Results
DOS at the Fermi energy (states/eV per atom): 0.500
Magnetic moment (μB/cell): 0.00
Energy relative to the lowest polymorph listed for this composition (kJ/mol of atoms): 0.00
Space group: Cmcm (63)
DFT formation energy (eV/f.u.): -2.211
Total energy (eV/atom): -2.58